First-principles (PBE-GGA) data for crystalline CdMo2N at its relaxed geometry, as listed in OQMD.

Properties
Final energy in eV/atom: -7.694
Crystal system: monoclinic
Magnetic moment in μB per formula unit: 0.001
Space group: C2/c, No. 15

```
24
Lattice="-2.634 1.772 3.974 -5.083 0.100 -0.150 2.128 -14.480 4.605" Properties=species:S:1:pos:R:3 pbc="T T T"
Cd -2.238 -3.129 2.095
Cd -2.300 -1.983 4.793
Cd -4.809 -2.507 3.370
Cd -0.781 -10.101 5.060
Cd -3.290 -10.625 3.636
Cd -3.352 -9.479 6.335
Mo -3.050 -0.280 2.449
Mo -5.621 0.343 3.724
Mo -0.477 -0.908 1.178
Mo -5.765 -4.178 5.643
Mo -0.622 -5.430 3.095
Mo -3.194 -4.807 4.369
Mo -2.396 -7.801 4.061
Mo -4.968 -7.178 5.334
Mo 0.175 -8.430 2.787
Mo -5.113 -11.700 7.252
Mo 0.031 -12.951 4.705
Mo -2.540 -12.328 5.981
N -1.317 0.886 1.987
N -3.886 1.512 3.266
N -3.832 0.361 0.559
N -4.052 -6.568 3.497
N -1.478 -7.190 2.228
N -1.538 -6.040 4.932
```